(1)
DFT (PBE) results for MnOs2PtBr after structural relaxation.

```
MnOs2PtBr
1.0
4.973 0.000 0.000
0.000 4.973 0.000
0.000 0.000 4.619
Mn Os Pt Br
1 2 1 1
direct
0.000 0.000 0.000 Mn
0.000 0.500 0.500 Os
0.500 0.000 0.500 Os
0.000 0.000 0.500 Pt
0.500 0.500 0.000 Br
```

Results
The space-group type is No. 123.

***

(2)
DFT (PBE) results for Sr2InAu after structural relaxation.

```
Sr2InAu
1.0
-4.384 4.384 3.748
4.384 -4.384 3.748
4.384 4.384 -3.748
Sr In Au
4 2 2
direct
0.091 0.125 0.466 Sr
0.375 0.909 0.034 Sr
0.659 0.625 0.534 Sr
0.875 0.341 0.966 Sr
0.250 0.750 0.500 In
0.500 0.500 0.000 In
0.000 0.000 0.000 Au
0.750 0.250 0.500 Au
```

Results
The space-group type is No. 122.

***

(3)
DFT (PBE) results for CdPb2Br after structural relaxation.

```
CdPb2Br
1.0
1.858 1.073 9.869
-1.858 1.073 9.869
0.000 -2.146 9.869
Cd Pb Br
1 2 1
direct
0.000 0.000 0.000 Cd
0.249 0.249 0.249 Pb
0.751 0.751 0.751 Pb
0.500 0.500 0.500 Br
```

Results
The space-group type is No. 166.

***

(4)
DFT (PBE) results for LaAl2Ga4Ag after structural relaxation.

```
LaAl2Ga4Ag
1.0
2.311 1.334 8.731
-2.311 1.334 8.731
0.000 -2.668 8.731
La Al Ga Ag
1 2 4 1
direct
0.000 0.000 0.000 La
0.247 0.247 0.247 Al
0.753 0.753 0.753 Al
0.131 0.131 0.131 Ga
0.397 0.397 0.397 Ga
0.603 0.603 0.603 Ga
0.869 0.869 0.869 Ga
0.500 0.500 0.500 Ag
```

Results
The space-group type is No. 166.

***

(5)
DFT (PBE) results for CeUMn after structural relaxation.

```
CeUMn
1.0
4.475 0.000 0.000
-2.238 3.876 0.000
0.000 0.000 3.226
Ce U Mn
1 1 1
direct
0.000 0.000 0.000 Ce
0.333 0.667 0.323 U
0.667 0.333 0.612 Mn
```

Results
The space-group type is No. 156.

***

(6)
DFT (PBE) results for BaWN2 after structural relaxation.

```
BaWN2
1.0
1.873 1.081 6.928
-1.873 1.081 6.928
0.000 -2.163 6.928
Ba W N
1 1 2
direct
0.000 0.000 0.000 Ba
0.500 0.500 0.500 W
0.411 0.411 0.411 N
0.589 0.589 0.589 N
```

Results
The space-group type is No. 166.

***

(7)
DFT (PBE) results for NdEr2 after structural relaxation.

```
NdEr2
1.0
0.000 4.690 4.690
4.690 0.000 4.690
4.690 4.690 0.000
Nd Er
2 4
direct
0.125 0.125 0.125 Nd
0.875 0.875 0.875 Nd
0.000 0.500 0.500 Er
0.500 0.000 0.500 Er
0.500 0.500 0.000 Er
0.500 0.500 0.500 Er
```

Results
The space-group type is No. 227.

***

(8)
DFT (PBE) results for SrPm2Cd2In2 after structural relaxation.

```
SrPm2Cd2In2
1.0
2.506 1.447 9.809
-2.506 1.447 9.809
0.000 -2.894 9.809
Sr Pm Cd In
1 2 2 2
direct
0.000 0.000 0.000 Sr
0.130 0.130 0.130 Pm
0.870 0.870 0.870 Pm
0.411 0.411 0.411 Cd
0.589 0.589 0.589 Cd
0.253 0.253 0.253 In
0.747 0.747 0.747 In
```

Results
The space-group type is No. 166.

***

Results for VASP energy: -5.52, -2.64, -2.63, -3.62, -8.54, -7.35, -4.34, -2.96 (in eV per atom, following the order of the records).
Results for total moment: 5.27, 0.00, 0.00, 0.00, 0.00, 0.00, 4.37, 0.00 (in Bohr magnetons per cell, following the order of the records).